UTlRuO6 | GGA-PBE | relaxed

- space group = No. 74
- size of the total moment (μB per atom) = 0.1175
- ΔE_f (raw) (eV/atom) = -1.82
- calculated total energy (eV/atom) = -7.67
- crystal system = orthorhombic

abc: 7.8671 7.2344 7.5664
angles: 118.56 121.32 90.00
Last column: nearest neighbours and their distance in Å.
Atoms (fractional coordinates):
O: 0.5390 0.2890 0.0780  2 Ru 1.86
O: 0.1682 0.9182 0.3364  2 U 2.15
O: 0.4464 0.0799 0.2522  1 Ru 1.98, 1 U 2.06
O: 0.5536 0.3277 0.7478  1 Ru 1.98, 1 U 2.06
O: 0.8318 0.0818 0.6636  2 U 2.15
O: 0.4464 0.6723 0.2522  1 Ru 1.98, 1 U 2.06
O: 0.4610 0.7110 0.9220  2 Ru 1.86
O: 0.8058 0.6723 0.2522  1 Ru 1.98, 1 U 2.06
O: 0.1942 0.3277 0.7478  1 Ru 1.98, 1 U 2.06
O: 0.8058 0.0799 0.2522  1 Ru 1.98, 1 U 2.06
O: 0.5536 0.9201 0.7478  1 Ru 1.98, 1 U 2.06
O: 0.1942 0.9201 0.7478  1 Ru 1.98, 1 U 2.06
U: 0.0000 0.0000 0.5000  6 O 2.06-2.15
U: 0.5000 0.0000 0.5000  6 O 2.06-2.15
Ru: 0.5000 0.5000 0.0000  6 O 1.86-1.98
Ru: 0.5000 0.0000 0.0000  6 O 1.86-1.98
Tl: 0.1035 0.3535 0.2071  1 O 2.91
Tl: 0.8965 0.6465 0.7929  1 O 2.91